{"formula": "Ti8Si2Rh", "functional": "PBE-GGA", "state": "optimized geometry", "lattice_angstrom": [[7.368, -1.959, 0.000], [7.368, 1.959, 0.000], [-2.724, 0.000, 6.138]], "species": ["Ti", "Ti", "Ti", "Ti", "Ti", "Ti", "Ti", "Ti", "Si", "Si", "Rh"], "fractional_positions": [[0.036, 0.036, 0.296], [0.182, 0.182, 0.777], [0.325, 0.325, 0.578], [0.414, 0.414, 0.043], [0.586, 0.586, 0.957], [0.675, 0.675, 0.422], [0.818, 0.818, 0.223], [0.964, 0.964, 0.704], [0.192, 0.192, 0.174], [0.808, 0.808, 0.826], [0.500, 0.500, 0.500]], "final_energy_ev_per_atom": -7.84, "raw_formation_energy_ev_per_atom": -0.44, "space_group": "No. 12"}

---

{"formula": "TiSiPt", "functional": "PBE-GGA", "state": "optimized geometry", "lattice_angstrom": [[6.440, 0.000, 0.000], [0.000, 3.805, 0.000], [-0.075, 0.000, 11.026]], "species": ["Ti", "Ti", "Ti", "Ti", "Ti", "Ti", "Si", "Si", "Si", "Si", "Si", "Si", "Pt", "Pt", "Pt", "Pt", "Pt", "Pt"], "fractional_positions": [[0.021, 0.250, 0.211], [0.349, 0.750, 0.579], [0.468, 0.750, 0.883], [0.532, 0.250, 0.117], [0.651, 0.250, 0.421], [0.979, 0.750, 0.789], [0.245, 0.750, 0.086], [0.248, 0.250, 0.417], [0.269, 0.250, 0.752], [0.731, 0.750, 0.248], [0.752, 0.750, 0.583], [0.755, 0.250, 0.914], [0.015, 0.250, 0.594], [0.151, 0.250, 0.959], [0.369, 0.750, 0.293], [0.631, 0.250, 0.707], [0.849, 0.750, 0.041], [0.985, 0.750, 0.406]], "final_energy_ev_per_atom": -7.46, "raw_formation_energy_ev_per_atom": -1.00, "space_group": "No. 11"}

---

{"formula": "TbHf2NiN4", "functional": "PBE-GGA", "state": "optimized geometry", "lattice_angstrom": [[1.604, -5.412, 0.000], [1.604, 5.412, 0.000], [0.000, 0.000, 11.034]], "species": ["Tb", "Tb", "Hf", "Hf", "Hf", "Hf", "Ni", "Ni", "N", "N", "N", "N", "N", "N", "N", "N"], "fractional_positions": [[0.111, 0.889, 0.750], [0.889, 0.111, 0.250], [0.368, 0.632, 0.556], [0.368, 0.632, 0.944], [0.632, 0.368, 0.056], [0.632, 0.368, 0.444], [0.152, 0.848, 0.250], [0.848, 0.152, 0.750], [0.000, 0.000, 0.000], [0.000, 0.000, 0.500], [0.269, 0.731, 0.113], [0.269, 0.731, 0.387], [0.450, 0.550, 0.750], [0.550, 0.450, 0.250], [0.731, 0.269, 0.613], [0.731, 0.269, 0.887]], "final_energy_ev_per_atom": -9.33, "raw_formation_energy_ev_per_atom": -1.38, "space_group": "No. 63"}

---

{"formula": "Pm3Dy4Ho5", "functional": "PBE-GGA", "state": "optimized geometry", "lattice_angstrom": [[6.165, 0.000, 0.000], [-0.022, 7.121, 0.000], [-0.020, -0.002, 8.715]], "species": ["Pm", "Pm", "Pm", "Dy", "Dy", "Dy", "Dy", "Ho", "Ho", "Ho", "Ho", "Ho"], "fractional_positions": [[0.000, 0.000, 0.000], [0.166, 0.750, 0.666], [0.834, 0.250, 0.334], [0.168, 0.251, 0.667], [0.333, 0.500, 0.332], [0.667, 0.500, 0.668], [0.832, 0.749, 0.333], [0.000, 0.500, 0.000], [0.335, 0.000, 0.333], [0.499, 0.251, 0.000], [0.501, 0.749, 0.000], [0.665, 0.000, 0.667]], "final_energy_ev_per_atom": -4.61, "ef_mev_per_atom": 17, "de_polymorph_mev_per_atom": 0, "space_group": "No. 2"}

---

{"formula": "ScMnAuSe2", "functional": "PBE-GGA", "state": "optimized geometry", "lattice_angstrom": [[5.005, 0.000, 0.000], [0.000, 5.005, 0.000], [0.000, 0.000, 5.520]], "species": ["Sc", "Mn", "Au", "Se", "Se"], "fractional_positions": [[0.000, 0.000, 0.000], [0.000, 0.000, 0.500], [0.500, 0.500, 0.500], [0.000, 0.500, 0.000], [0.500, 0.000, 0.000]], "final_energy_ev_per_atom": -4.81, "raw_formation_energy_ev_per_atom": 0.34, "space_group": "No. 123"}

---

{"formula": "Nd5Ga2Sn5", "functional": "PBE-GGA", "state": "optimized geometry", "lattice_angstrom": [[8.093, -2.247, 0.000], [8.093, 2.247, 0.000], [-7.633, 0.000, 9.200]], "species": ["Nd", "Nd", "Nd", "Nd", "Nd", "Ga", "Ga", "Sn", "Sn", "Sn", "Sn", "Sn"], "fractional_positions": [[0.000, 0.000, 0.000], [0.113, 0.113, 0.426], [0.204, 0.204, 0.835], [0.796, 0.796, 0.165], [0.887, 0.887, 0.574], [0.362, 0.362, 0.748], [0.638, 0.638, 0.252], [0.255, 0.255, 0.315], [0.437, 0.437, 0.155], [0.500, 0.500, 0.500], [0.563, 0.563, 0.845], [0.745, 0.745, 0.685]], "final_energy_ev_per_atom": -4.84, "ef_mev_per_atom": -677, "space_group": "No. 12"}

---

{"formula": "Na2Tl4In3", "functional": "PBE-GGA", "state": "optimized geometry", "lattice_angstrom": [[4.656, -2.691, 0.000], [4.656, 2.691, 0.000], [-0.011, 0.000, 10.107]], "species": ["Na", "Na", "Tl", "Tl", "Tl", "Tl", "In", "In", "In"], "fractional_positions": [[0.167, 0.167, 0.279], [0.833, 0.833, 0.721], [0.167, 0.167, 0.611], [0.500, 0.500, 0.165], [0.500, 0.500, 0.835], [0.833, 0.833, 0.389], [0.167, 0.167, 0.950], [0.500, 0.500, 0.500], [0.833, 0.833, 0.050]], "final_energy_ev_per_atom": -2.33, "ef_mev_per_atom": -69, "de_polymorph_mev_per_atom": 0, "space_group": "No. 12"}

---

{"formula": "Ti2VHPd", "functional": "PBE-GGA", "state": "optimized geometry", "lattice_angstrom": [[4.274, 0.000, 0.000], [0.000, 4.274, 0.000], [0.000, 0.000, 3.467]], "species": ["Ti", "Ti", "V", "H", "Pd"], "fractional_positions": [[0.000, 0.500, 0.000], [0.500, 0.000, 0.000], [0.000, 0.000, 0.500], [0.000, 0.000, 0.000], [0.500, 0.500, 0.500]], "final_energy_ev_per_atom": -6.98, "space_group": "No. 123"}

---

{"formula": "NdSiGe2Rh2", "functional": "PBE-GGA", "state": "optimized geometry", "lattice_angstrom": [[4.521, 0.000, 0.000], [0.000, 4.521, 0.000], [0.000, 0.000, 5.563]], "species": ["Nd", "Si", "Ge", "Ge", "Rh", "Rh"], "fractional_positions": [[0.000, 0.000, 0.000], [0.000, 0.000, 0.500], [0.500, 0.500, 0.231], [0.500, 0.500, 0.769], [0.000, 0.500, 0.500], [0.500, 0.000, 0.500]], "final_energy_ev_per_atom": -6.16, "raw_formation_energy_ev_per_atom": -0.47, "space_group": "No. 123"}

---

{"formula": "Rb2NaFe", "functional": "PBE-GGA", "state": "optimized geometry", "lattice_angstrom": [[-5.062, 5.062, 3.816], [5.062, -5.062, 3.816], [5.062, 5.062, -3.816]], "species": ["Rb", "Rb", "Rb", "Rb", "Na", "Na", "Fe", "Fe"], "fractional_positions": [[0.090, 0.125, 0.465], [0.375, 0.910, 0.035], [0.660, 0.625, 0.535], [0.875, 0.340, 0.965], [0.250, 0.750, 0.500], [0.500, 0.500, 0.000], [0.000, 0.000, 0.000], [0.750, 0.250, 0.500]], "final_energy_ev_per_atom": -2.01, "ef_mev_per_atom": 919, "de_polymorph_mev_per_atom": 109, "space_group": "No. 122"}

---

{"formula": "TbMg3Rh4", "functional": "PBE-GGA", "state": "optimized geometry", "lattice_angstrom": [[4.520, 0.000, 0.000], [0.000, 4.520, 0.000], [0.000, 0.000, 6.442]], "species": ["Tb", "Mg", "Mg", "Mg", "Rh", "Rh", "Rh", "Rh"], "fractional_positions": [[0.000, 0.000, 0.000], [0.000, 0.000, 0.500], [0.500, 0.500, 0.000], [0.500, 0.500, 0.500], [0.000, 0.500, 0.262], [0.000, 0.500, 0.738], [0.500, 0.000, 0.262], [0.500, 0.000, 0.738]], "final_energy_ev_per_atom": -5.45, "ef_mev_per_atom": -595, "space_group": "No. 123"}

---

{"formula": "Rb2Y2Bi2Se", "functional": "PBE-GGA", "state": "optimized geometry", "lattice_angstrom": [[-2.718, 2.718, 9.443], [2.718, -2.718, 9.443], [2.718, 2.718, -9.443]], "species": ["Rb", "Rb", "Y", "Y", "Bi", "Bi", "Se"], "fractional_positions": [[0.184, 0.184, 0.000], [0.816, 0.816, 0.000], [0.000, 0.500, 0.500], [0.500, 0.000, 0.500], [0.392, 0.392, 0.000], [0.608, 0.608, 0.000], [0.000, 0.000, 0.000]], "final_energy_ev_per_atom": -4.66, "raw_formation_energy_ev_per_atom": -0.93, "space_group": "No. 139"}